Record 1
PBE SrSi2Pt4, relaxed; total magnetization = 0.00 μB/f.u.; E_form (uncorrected) = -0.566 eV per atom; Fermi-level density of states = 2.70 states/eV/cell
1.0
-1.857 -4.460 3.027
0.914 -2.944 -4.796
3.133 -4.011 0.332
Sr Si Pt
1 2 4
direct
0.000 0.000 0.000
0.500 0.500 0.738
0.500 0.500 0.262
0.578 0.930 0.745
0.422 0.070 0.255
0.070 0.422 0.255
0.930 0.578 0.745

=====

Record 2
PBE MnHN2, relaxed; energy = -7.11 eV/atom; total magnetization = 0.02 μB/f.u.; Fermi-level density of states = 1.76 states/eV/cell
1.0
1.557 0.000 4.800
-0.778 1.348 4.800
-0.778 -1.348 4.800
H Mn N
1 1 2
direct
0.000 0.000 0.000
0.500 0.500 0.500
0.912 0.912 0.912
0.088 0.088 0.088

=====

Record 3
PBE BaHg2PbAu, relaxed; total magnetization = 0.00 μB/f.u.; Fermi-level density of states = 3.84 states/eV/cell; formation energy from the elements = -389 meV/atom
1.0
4.700 0.000 0.000
0.000 4.843 0.000
-2.350 -2.422 6.528
Ba Hg Pb Au
1 2 1 1
direct
0.435 0.435 0.870
0.700 0.200 0.400
0.048 0.048 0.096
0.196 0.696 0.393
0.833 0.833 0.666

=====

Record 4
PBE LuAl4Ga, relaxed; total magnetization = 0.00 μB/f.u.; Fermi-level density of states = 2.73 states/eV/cell; formation energy from the elements = -168 meV/atom
1.0
5.442 0.000 0.000
2.721 4.713 0.000
2.721 1.571 4.443
Lu Al Ga
1 4 1
direct
0.250 0.250 0.250
0.625 0.625 0.126
0.625 0.126 0.625
0.625 0.625 0.625
0.126 0.625 0.625
0.000 0.000 0.000

=====

Record 5
PBE Pm8Te4PIr3, relaxed; total magnetization = 0.00 μB/f.u.; E_form (uncorrected) = -1.140 eV per atom; Fermi-level density of states = 9.44 states/eV/cell
1.0
8.485 0.000 0.000
0.000 8.860 0.255
-4.243 -4.237 6.005
Pm Te P Ir
8 4 1 3
direct
0.239 0.709 0.971
0.239 0.709 0.478
0.263 0.288 0.526
0.732 0.709 0.971
0.268 0.291 0.029
0.737 0.712 0.474
0.761 0.291 0.522
0.761 0.291 0.029
0.500 0.000 0.000
0.500 0.000 0.500
0.000 0.000 0.000
0.000 0.000 0.500
0.000 0.500 0.000
0.500 0.500 0.000
0.500 0.500 0.500
0.000 0.500 0.500

=====

Record 6
PBE SmPaBiN2, relaxed; total magnetization = 0.00 μB/f.u.; E_form (uncorrected) = -1.403 eV per atom; Fermi-level density of states = 2.21 states/eV/cell
1.0
-1.464 -1.447 -3.413
-3.051 -1.614 1.993
-1.358 7.273 -0.175
Sm Pa Bi N
1 1 1 2
direct
0.835 0.835 0.671
0.175 0.175 0.350
0.505 0.505 0.009
0.743 0.243 0.485
0.243 0.743 0.485

=====

Record 7
PBE HgMo2Pb, relaxed; total magnetization = 0.00 μB/f.u.; Fermi-level density of states = 3.33 states/eV/cell; formation energy from the elements = 738 meV/atom
1.0
4.772 0.000 0.000
0.000 3.032 0.019
0.000 0.522 5.560
Hg Mo Pb
1 2 1
direct
0.500 0.750 0.750
0.000 0.081 0.960
0.000 0.419 0.540
0.500 0.250 0.250

=====

Record 8
PBE AcY2MgHg4, relaxed; total magnetization = 0.00 μB/f.u.; Fermi-level density of states = 6.34 states/eV/cell; formation energy from the elements = -434 meV/atom
1.0
5.134 0.000 0.000
2.567 4.446 0.000
2.567 1.482 9.563
Ac Y Mg Hg
1 2 1 4
direct
0.000 0.000 0.000
0.764 0.764 0.709
0.236 0.236 0.291
0.500 0.500 0.500
0.391 0.391 0.828
0.873 0.873 0.382
0.127 0.127 0.618
0.609 0.609 0.172